Here is a crystal of AlCr5 relaxed with PBEsol from the Alexandria database. Energies are from SCAN.

Properties
* DFT formation energy: -0.029 eV/atom
* distance to the lowest polymorph of the same formula: 196 meV per atom

abc: 6.1422 6.1422 4.0803
angles: 90.00 90.00 153.14
Sites, in units of the cell vectors:
Al 0.0000 0.0000 0.0000
Cr 0.1614 0.8386 0.5000
Cr 0.3236 0.6764 0.0000
Cr 0.5000 0.5000 0.5000
Cr 0.6764 0.3236 0.0000
Cr 0.8386 0.1614 0.5000